# 1
# HfCo3Ge3, optimized geometry, DFT PBE
data_HfCo3Ge3
_chemical_formula_sum 'Hf2 Co6 Ge6'
_cell_length_a 6.2673
_cell_length_b 6.2673
_cell_length_c 6.2673
_cell_angle_alpha 90.00
_cell_angle_beta 90.00
_cell_angle_gamma 90.00
_space_group_name_H-M_alt 'P 1'
_space_group_IT_number 1
loop_
_space_group_symop_operation_xyz
'x,y,z'
loop_
_atom_site_label
_atom_site_fract_x
_atom_site_fract_y
_atom_site_fract_z
Ge1 0.5000 0.0000 0.2500
Ge2 0.2500 0.5000 0.0000
Co1 0.5000 0.2500 0.0000
Hf1 0.0000 0.0000 0.0000
Co2 0.0000 0.5000 0.7500
Co3 0.7500 0.0000 0.5000
Co4 0.5000 0.7500 0.0000
Ge3 0.0000 0.7500 0.5000
Ge4 0.0000 0.2500 0.5000
Co5 0.2500 0.0000 0.5000
Co6 0.0000 0.5000 0.2500
Ge5 0.7500 0.5000 0.0000
Ge6 0.5000 0.0000 0.7500
Hf2 0.5000 0.5000 0.5000
# crystal system: cubic
# energy of formation from the pure elements: 0.430 eV per atom
# uncorrected energy: -84.2 eV for the cell shown
# SG: Pm-3n

# 2
# Lu2SiTc, optimized geometry, DFT PBE
data_Lu2SiTc
_chemical_formula_sum 'Lu2 Si1 Tc1'
_cell_length_a 3.6112
_cell_length_b 4.6298
_cell_length_c 4.6298
_cell_angle_alpha 90.00
_cell_angle_beta 90.00
_cell_angle_gamma 90.00
_space_group_name_H-M_alt 'P 1'
_space_group_IT_number 1
loop_
_space_group_symop_operation_xyz
'x,y,z'
loop_
_atom_site_label
_atom_site_fract_x
_atom_site_fract_y
_atom_site_fract_z
Tc1 0.5000 0.5000 0.5000
Lu1 0.0000 0.5000 0.0000
Si1 0.5000 0.0000 0.0000
Lu2 0.0000 0.0000 0.5000
# crystal system: tetragonal
# formation energy from raw total energies: -0.355 eV/atom
# uncorrected energy: -26.2 eV for the cell shown
# SG: P4/mmm

# 3
# KNaTl2F8, optimized geometry, DFT PBE
data_KNaTl2F8
_chemical_formula_sum 'K1 Na1 Tl2 F8'
_cell_length_a 5.7001
_cell_length_b 5.7001
_cell_length_c 6.7578
_cell_angle_alpha 114.94
_cell_angle_beta 114.94
_cell_angle_gamma 90.00
_space_group_name_H-M_alt 'P 1'
_space_group_IT_number 1
loop_
_space_group_symop_operation_xyz
'x,y,z'
loop_
_atom_site_label
_atom_site_fract_x
_atom_site_fract_y
_atom_site_fract_z
F1 0.1567 0.1193 0.7574
Na1 0.0000 0.0000 0.0000
F2 0.6006 0.6381 0.7574
F3 0.8792 0.8426 0.2415
Tl1 0.5000 0.5000 0.0000
F4 0.8807 0.3994 0.2426
K1 0.7500 0.2500 0.5000
F5 0.1574 0.6377 0.7585
F6 0.6011 0.1208 0.7585
Tl2 0.2500 0.7500 0.5000
F7 0.3619 0.8433 0.2426
F8 0.3623 0.3989 0.2415
# crystal system: tetragonal
# formation energy from raw total energies: -2.147 eV/atom
# uncorrected energy: -47.9 eV for the cell shown
# SG: I-4m2

# 4
# TlTcNi2, optimized geometry, DFT PBE
data_TlTcNi2
_chemical_formula_sum 'Tl1 Tc1 Ni2'
_cell_length_a 4.6584
_cell_length_b 4.6584
_cell_length_c 2.7909
_cell_angle_alpha 90.04
_cell_angle_beta 90.04
_cell_angle_gamma 105.18
_space_group_name_H-M_alt 'P 1'
_space_group_IT_number 1
loop_
_space_group_symop_operation_xyz
'x,y,z'
loop_
_atom_site_label
_atom_site_fract_x
_atom_site_fract_y
_atom_site_fract_z
Tc1 0.5000 0.0000 0.5000
Tl1 0.0000 0.5000 0.5000
Ni1 0.5000 0.5000 0.0000
Ni2 0.0000 0.0000 0.0000
# energy relative to the lowest polymorph listed for this composition: 101 meV/atom
# crystal system: orthorhombic
# energy of formation from the pure elements: 0.450 eV per atom
# uncorrected energy: -22.5 eV for the cell shown
# SG: Cmmm

# 5
# PrNd5Ni2, optimized geometry, DFT PBE
data_PrNd5Ni2
_chemical_formula_sum 'Pr2 Nd10 Ni4'
_cell_length_a 3.7778
_cell_length_b 6.9721
_cell_length_c 18.8371
_cell_angle_alpha 90.00
_cell_angle_beta 90.00
_cell_angle_gamma 105.72
_space_group_name_H-M_alt 'P 1'
_space_group_IT_number 1
loop_
_space_group_symop_operation_xyz
'x,y,z'
loop_
_atom_site_label
_atom_site_fract_x
_atom_site_fract_y
_atom_site_fract_z
Ni1 0.7136 0.4272 0.1354
Ni2 0.2864 0.5728 0.6354
Ni3 0.2864 0.5728 0.8646
Nd1 0.0622 0.1244 0.4085
Nd2 0.5807 0.1614 0.2500
Nd3 0.0622 0.1244 0.0915
Nd4 0.3294 0.6588 0.4402
Nd5 0.4193 0.8386 0.7500
Nd6 0.3294 0.6588 0.0598
Nd7 0.9378 0.8756 0.5915
Pr1 0.6926 0.3852 0.7500
Nd8 0.6706 0.3412 0.5598
Nd9 0.9378 0.8756 0.9085
Nd10 0.6706 0.3412 0.9402
Pr2 0.3074 0.6148 0.2500
Ni4 0.7136 0.4272 0.3646
# crystal system: orthorhombic
# energy of formation from the pure elements: -0.082 eV per atom
# uncorrected energy: -81.7 eV for the cell shown
# SG: Cmcm

# 6
# Sr2Cr, optimized geometry, DFT PBE
data_Sr2Cr
_chemical_formula_sum 'Sr4 Cr2'
_cell_length_a 9.7822
_cell_length_b 9.7822
_cell_length_c 6.0990
_cell_angle_alpha 90.00
_cell_angle_beta 90.00
_cell_angle_gamma 155.93
_space_group_name_H-M_alt 'P 1'
_space_group_IT_number 1
loop_
_space_group_symop_operation_xyz
'x,y,z'
loop_
_atom_site_label
_atom_site_fract_x
_atom_site_fract_y
_atom_site_fract_z
Sr1 0.0768 0.9232 0.2500
Sr2 0.2108 0.7892 0.7500
Cr1 0.4328 0.5672 0.2500
Sr3 0.9232 0.0768 0.7500
Cr2 0.5672 0.4328 0.7500
Sr4 0.7892 0.2108 0.2500
# crystal system: orthorhombic
# energy of formation from the pure elements: 0.574 eV per atom
# uncorrected energy: -22.5 eV for the cell shown
# SG: Cmcm